Record 1
This record from the Alexandria database describes a relaxed structure of Ti2Co2Rh. The functional is PBE-GGA.

The structure in POSCAR format:
```
Ti2Co2Rh
1.0
6.6519 0.0000 0.0000
0.0000 6.6519 0.0000
0.0000 0.0000 3.0260
Ti Co Rh
4 4 2
direct
0.1788 0.3212 0.0000
0.3212 0.8212 0.0000
0.6788 0.1788 0.0000
0.8212 0.6788 0.0000
0.1230 0.6230 0.5000
0.3770 0.1230 0.5000
0.6230 0.8770 0.5000
0.8770 0.3770 0.5000
0.0000 0.0000 0.5000
0.5000 0.5000 0.5000
```

Results
Its offset from the most stable computed form is 0.000 eV per atom. The value obtained for the energy relative to the elements is -38.4 kJ per mole of atoms. As for the size of the total moment: 0.001 μB per atom. Its space group is P4/mbm, No. 127.

***

Record 2
This record from the Alexandria database describes a relaxed structure of Ti2CoRh. The functional is PBE-GGA.

The structure in POSCAR format:
```
Ti2CoRh
1.0
-3.3131 3.3131 2.7223
3.3131 -3.3131 2.7223
3.3131 3.3131 -2.7223
Ti Co Rh
4 2 2
direct
0.1100 0.1250 0.4850
0.3750 0.8900 0.0150
0.6400 0.6250 0.5150
0.8750 0.3600 0.9850
0.0000 0.0000 0.0000
0.7500 0.2500 0.5000
0.2500 0.7500 0.5000
0.5000 0.5000 0.0000
```

Results
The value obtained for the energy relative to the elements is -12.7 kJ per mole of atoms. As for the size of the total moment: 0.000 μB per atom. Its space group is I-42d, No. 122.

***

Record 3
This record from the Alexandria database describes a relaxed structure of Ti7Co5Rh. The functional is PBE-GGA.

The structure in POSCAR format:
```
Ti7Co5Rh
1.0
-2.5041 4.3189 4.2315
2.5041 -4.3189 4.2315
2.5041 4.3189 -4.2315
Ti Co Rh
7 5 1
direct
0.0000 0.0000 0.0000
0.2558 0.5591 0.6968
0.3621 0.0204 0.3417
0.3640 0.3640 0.0000
0.6787 0.0204 0.6583
0.8014 0.3014 0.5000
0.8623 0.5591 0.3032
0.0415 0.0505 0.4909
0.0415 0.5506 0.9910
0.2690 0.7690 0.5000
0.5595 0.0505 0.0090
0.5595 0.5506 0.5091
0.6590 0.6590 0.0000
```

Results
The value obtained for the energy relative to the elements is -29.9 kJ per mole of atoms. As for the size of the total moment: 0.000 μB per atom. Its space group is Imm2, No. 44.

***

- Which formula does entry 2 have?
  Ti2CoRh

***

- What is the energy relative to the elements in the second record?
  -12.7 kJ per mole of atoms

***

- The highest energy relative to the elements belongs to which entry?
  Ti2CoRh